VASP calculation (PBE) on crystalline HgBiPt at its relaxed geometry.

**Energy relative to the lowest polymorph listed for this composition**: 0.44 eV per formula unit
**Raw total energy**: -3.39 eV per atom
**Energy relative to the elements**: 4 kJ/mol of formula units

Lattice parameters (Å, degrees): 6.383 6.383 6.383 148.65 148.65 44.93
Positions (direct):
Hg 0.000 0.000 0.000
Bi 0.718 0.718 0.000
Pt 0.352 0.352 0.000